# Zr2FeMo

A relaxed Zr2FeMo crystal (PBE, the Alexandria database).

Properties
The total magnetic moment comes out at 0.0780 μB per atom. For the energy, the calculation gives -36.34 eV for the cell shown. Its space-group type is Imm2 (44). The density of states at the Fermi level is 3.0 states/eV per cell. As for the energy relative to the elements: 0.013 eV/atom.

a = 5.522 Å, b = 5.522 Å, c = 5.522 Å
α = 145.52°, β = 131.77°, γ = 60.64°
Atoms (fractional coordinates):
1 Zr 0.737 0.237 0.500
2 Mo 0.268 0.768 0.500
3 Fe 0.488 0.488 0.000
4 Zr 0.007 0.007 0.000

---

# ZrFe2Mo

A relaxed ZrFe2Mo crystal (PBE, the Alexandria database).

Properties
The total magnetic moment comes out at 0.5227 μB per atom. For the energy, the calculation gives -36.06 eV for the cell shown. Its space-group type is P4/mmm (123). The density of states at the Fermi level is 4.4 states/eV per cell. As for the energy relative to the elements: 0.062 eV/atom.

a = 4.395 Å, b = 4.395 Å, c = 3.051 Å
α = 90.00°, β = 90.00°, γ = 90.00°
Atoms (fractional coordinates):
1 Fe 0.000 0.000 0.000
2 Fe 0.500 0.500 0.000
3 Zr 0.000 0.500 0.500
4 Mo 0.500 0.000 0.500

---

# Zr3FeMo

A relaxed Zr3FeMo crystal (PBE, the Alexandria database).

Properties
The total magnetic moment comes out at 0.0000 μB per atom. For the energy, the calculation gives -38.57 eV for the cell shown. Its space-group type is Pm-3m (221). The density of states at the Fermi level is 10.1 states/eV per cell. As for the energy relative to the elements: 1.273 eV/atom.

a = 4.968 Å, b = 4.968 Å, c = 4.968 Å
α = 90.00°, β = 90.00°, γ = 90.00°
Atoms (fractional coordinates):
1 Zr 0.000 0.000 0.500
2 Zr 0.000 0.500 0.000
3 Mo 0.000 0.000 0.000
4 Fe 0.500 0.500 0.500
5 Zr 0.500 0.000 0.000

---

# ZrFe2Mo

A relaxed ZrFe2Mo crystal (PBE, the Alexandria database).

Properties
The total magnetic moment comes out at 0.8407 μB per atom. For the energy, the calculation gives -36.06 eV for the cell shown. Its space-group type is P4mm (99). The density of states at the Fermi level is 2.8 states/eV per cell. As for the energy relative to the elements: 0.061 eV/atom.

a = 3.113 Å, b = 3.113 Å, c = 6.275 Å
α = 90.00°, β = 90.00°, γ = 89.99°
Atoms (fractional coordinates):
1 Mo 0.000 0.000 0.460
2 Fe 0.500 0.500 0.243
3 Fe 0.000 0.000 0.030
4 Zr 0.500 0.500 0.767

---

# Zr2FeMo

A relaxed Zr2FeMo crystal (PBE, the Alexandria database).

Properties
The total magnetic moment comes out at 0.3073 μB per atom. For the energy, the calculation gives -35.77 eV for the cell shown. Its space-group type is Pm (6). The density of states at the Fermi level is 4.8 states/eV per cell. As for the energy relative to the elements: 0.156 eV/atom.

a = 4.566 Å, b = 3.049 Å, c = 5.283 Å
α = 77.66°, β = 90.00°, γ = 90.00°
Atoms (fractional coordinates):
1 Fe 0.000 0.531 0.506
2 Zr 0.500 0.267 0.271
3 Zr 0.000 0.980 0.976
4 Mo 0.500 0.722 0.747

---

# ZrFeMo2

A relaxed ZrFeMo2 crystal (PBE, the Alexandria database).

Properties
The total magnetic moment comes out at 0.5564 μB per atom. For the energy, the calculation gives -37.33 eV for the cell shown. Its space-group type is Cmmm (65). The density of states at the Fermi level is 4.5 states/eV per cell. As for the energy relative to the elements: 0.337 eV/atom.

a = 5.363 Å, b = 5.363 Å, c = 2.665 Å
α = 90.00°, β = 90.00°, γ = 120.09°
Atoms (fractional coordinates):
1 Zr 0.500 0.000 0.500
2 Mo 0.500 0.500 0.000
3 Mo 0.000 0.000 0.000
4 Fe 0.000 0.500 0.500

---

# Zr2FeMo

A relaxed Zr2FeMo crystal (PBE, the Alexandria database).

Properties
The total magnetic moment comes out at 0.2561 μB per atom. For the energy, the calculation gives -35.77 eV for the cell shown. Its space-group type is Immm (71). The density of states at the Fermi level is 3.8 states/eV per cell. As for the energy relative to the elements: 0.154 eV/atom.

a = 5.183 Å, b = 5.183 Å, c = 4.931 Å
α = 61.56°, β = 61.56°, γ = 38.26°
Atoms (fractional coordinates):
1 Fe 0.750 0.750 0.750
2 Zr 0.014 0.014 0.986
3 Zr 0.486 0.486 0.514
4 Mo 0.250 0.250 0.250

---

# ZrFe2Mo2

A relaxed ZrFe2Mo2 crystal (PBE, the Alexandria database).

Properties
The total magnetic moment comes out at 0.0001 μB per atom. For the energy, the calculation gives -45.52 eV for the cell shown. Its space-group type is I4/mmm (139). The density of states at the Fermi level is 3.3 states/eV per cell. As for the energy relative to the elements: 0.323 eV/atom.

a = 3.994 Å, b = 3.994 Å, c = 5.865 Å
α = 70.09°, β = 70.09°, γ = 90.00°
Atoms (fractional coordinates):
1 Zr 0.000 0.000 0.000
2 Mo 0.374 0.374 0.252
3 Fe 0.250 0.750 0.500
4 Fe 0.750 0.250 0.500
5 Mo 0.626 0.626 0.748

---

# ZrFeMo2

A relaxed ZrFeMo2 crystal (PBE, the Alexandria database).

Properties
The total magnetic moment comes out at 0.3326 μB per atom. For the energy, the calculation gives -38.60 eV for the cell shown. Its space-group type is P4mm (99). The density of states at the Fermi level is 3.8 states/eV per cell. As for the energy relative to the elements: 0.018 eV/atom.

a = 3.195 Å, b = 3.195 Å, c = 6.337 Å
α = 90.00°, β = 90.00°, γ = 90.00°
Atoms (fractional coordinates):
1 Mo 0.500 0.500 0.229
2 Mo 0.000 0.000 0.997
3 Fe 0.500 0.500 0.765
4 Zr 0.000 0.000 0.510

---

# ZrFe2Mo

A relaxed ZrFe2Mo crystal (PBE, the Alexandria database).

Properties
The total magnetic moment comes out at 0.8668 μB per atom. For the energy, the calculation gives -35.75 eV for the cell shown. Its space-group type is P2/m (10). The density of states at the Fermi level is 4.1 states/eV per cell. As for the energy relative to the elements: 0.140 eV/atom.

a = 4.109 Å, b = 2.778 Å, c = 5.479 Å
α = 76.18°, β = 90.00°, γ = 90.00°
Atoms (fractional coordinates):
1 Fe 0.000 0.006 0.031
2 Fe 0.000 0.494 0.469
3 Zr 0.500 0.750 0.750
4 Mo 0.500 0.250 0.250

---

# Zr2FeMo

A relaxed Zr2FeMo crystal (PBE, the Alexandria database).

Properties
The total magnetic moment comes out at 0.0000 μB per atom. For the energy, the calculation gives -68.95 eV for the cell shown. Its space-group type is I-42d (122). The density of states at the Fermi level is 9.2 states/eV per cell. As for the energy relative to the elements: 0.479 eV/atom.

a = 7.198 Å, b = 7.198 Å, c = 5.820 Å
α = 51.80°, β = 51.80°, γ = 90.00°
Atoms (fractional coordinates):
1 Zr 0.595 0.125 0.250
2 Fe 0.500 0.500 0.000
3 Fe 0.250 0.750 0.500
4 Zr 0.875 0.845 0.750
5 Zr 0.375 0.405 0.750
6 Mo 0.000 0.000 0.000
7 Mo 0.750 0.250 0.500
8 Zr 0.155 0.625 0.250

---

# ZrFeMo2

A relaxed ZrFeMo2 crystal (PBE, the Alexandria database).

Properties
The total magnetic moment comes out at 0.3828 μB per atom. For the energy, the calculation gives -38.20 eV for the cell shown. Its space-group type is Imm2 (44). The density of states at the Fermi level is 4.0 states/eV per cell. As for the energy relative to the elements: 0.117 eV/atom.

a = 5.193 Å, b = 5.193 Å, c = 4.595 Å
α = 63.75°, β = 63.75°, γ = 36.41°
Atoms (fractional coordinates):
1 Zr 0.503 0.503 0.497
2 Mo 0.737 0.737 0.763
3 Mo 0.999 0.999 0.001
4 Fe 0.261 0.261 0.239

---

Copy entry 2 word for word.
# ZrFe2Mo

A relaxed ZrFe2Mo crystal (PBE, the Alexandria database).

Properties
The total magnetic moment comes out at 0.5227 μB per atom. For the energy, the calculation gives -36.06 eV for the cell shown. Its space-group type is P4/mmm (123). The density of states at the Fermi level is 4.4 states/eV per cell. As for the energy relative to the elements: 0.062 eV/atom.

a = 4.395 Å, b = 4.395 Å, c = 3.051 Å
α = 90.00°, β = 90.00°, γ = 90.00°
Atoms (fractional coordinates):
1 Fe 0.000 0.000 0.000
2 Fe 0.500 0.500 0.000
3 Zr 0.000 0.500 0.500
4 Mo 0.500 0.000 0.500